First-principles (GGA-PBE) data for crystalline K3HfMn at its relaxed geometry, as listed in Alexandria.

Computed properties:
Volume = 62.34 Å³ per atom
Density = 1868 kg/m³
DOS(E_F) = 16.1 states/eV/cell
SG = Pm-3m, No. 221
Energy = -2.76 eV/atom
Magnetic moment = 1.891 μB/atom

a b c (Å): 6.780 6.780 6.780
angles (deg): 90.00 90.00 90.00
Positions (direct):
1 K 0.000 0.000 0.500
2 K 0.000 0.500 0.000
3 K 0.500 0.000 0.000
4 Mn 0.500 0.500 0.500
5 Hf 0.000 0.000 0.000